Entry 1:
! Sr2RuF | Alexandria via LeMat-Bulk | PBE | relaxed; values from VASP
! Raw formation energy ... -0.53 eV per atom
! Crystal system ... cubic
! Size of the total moment ... 0.2500 μB/atom
&SYSTEM
  ibrav = 0, nat = 4, ntyp = 3
/
ATOMIC_SPECIES
Sr 87.62 Sr.upf
Ru 101.07 Ru.upf
F 19.00 F.upf
CELL_PARAMETERS angstrom
0.000 3.639 3.639
3.639 0.000 3.639
3.639 3.639 0.000
ATOMIC_POSITIONS angstrom
Sr 1.820 1.820 1.820
Sr 5.459 5.459 5.459
Ru 0.000 0.000 0.000
F 3.639 3.639 3.639

---

Entry 2:
! Sr2Ru2F | Alexandria via LeMat-Bulk | PBE | relaxed; values from VASP
! Raw formation energy ... -0.23 eV per atom
! Crystal system ... tetragonal
! Size of the total moment ... 0.2197 μB/atom
&SYSTEM
  ibrav = 0, nat = 10, ntyp = 3
/
ATOMIC_SPECIES
Sr 87.62 Sr.upf
Ru 101.07 Ru.upf
F 19.00 F.upf
CELL_PARAMETERS angstrom
6.855 0.000 0.000
0.000 6.855 0.000
0.000 0.000 5.035
ATOMIC_POSITIONS angstrom
Sr 1.267 2.160 0.000
Sr 2.160 5.588 0.000
Sr 4.694 1.267 0.000
Sr 5.588 4.694 0.000
Ru 0.807 4.234 2.518
Ru 2.621 0.807 2.518
Ru 4.234 6.048 2.518
Ru 6.048 2.621 2.518
F 0.000 0.000 0.000
F 3.427 3.427 0.000

---

Entry 3:
! Sr2RuF | Alexandria via LeMat-Bulk | PBE | relaxed; values from VASP
! Raw formation energy ... -0.82 eV per atom
! Crystal system ... tetragonal
! Size of the total moment ... 0.2500 μB/atom
&SYSTEM
  ibrav = 0, nat = 8, ntyp = 3
/
ATOMIC_SPECIES
Sr 87.62 Sr.upf
Ru 101.07 Ru.upf
F 19.00 F.upf
CELL_PARAMETERS angstrom
-3.566 3.566 4.088
3.566 -3.566 4.088
3.566 3.566 -4.088
ATOMIC_POSITIONS angstrom
Sr 5.349 1.381 -1.022
Sr 1.381 1.783 1.022
Sr -1.783 2.185 3.066
Sr 2.185 1.783 5.110
Ru 3.566 0.000 2.044
Ru 0.000 0.000 4.088
F 0.000 0.000 0.000
F 0.000 3.566 2.044